(1)
Computed, not measured: crystalline Fe2SiPb at its relaxed geometry at the GGA-PBE level of DFT.

Cell and atoms, written as POSCAR:
```
Fe2SiPb
1.0
1.5555 0.8981 8.2717
-1.5555 0.8981 8.2717
0.0000 -1.7962 8.2717
Fe Si Pb
2 1 1
Direct
0.0000 0.0000 0.0000
0.2667 0.2667 0.2667
0.5378 0.5378 0.5378
0.7616 0.7616 0.7616
```

magnetization	4.9	μB per cell
polymorph energy (0 for the lowest one)	277.3	meV per atom
formation energy without anion corrections	0.432	eV per atom
D(E_F)	1.99	states/eV/f.u.



(2)
Computed, not measured: crystalline TmAlTl2S4 at its relaxed geometry at the GGA-PBE level of DFT.

Cell and atoms, written as POSCAR:
```
TmAlTl2S4
1.0
-3.9456 4.1502 5.7369
3.9456 -4.1502 5.7369
3.9456 4.1502 -5.7369
Tm Al Tl S
2 2 4 8
Direct
0.0000 0.0000 0.0000
0.5000 0.0000 0.5000
0.5000 0.0000 0.0000
0.5000 0.5000 0.5000
0.0000 0.0000 0.5000
0.0000 0.5000 0.0000
0.0000 0.5000 0.5000
0.5000 0.5000 0.0000
0.2791 0.2512 0.4722
0.2791 0.8069 0.0278
0.2908 0.2380 0.0528
0.3148 0.7620 0.5528
0.6852 0.2380 0.4472
0.7092 0.7620 0.9472
0.7209 0.1931 0.9722
0.7209 0.7488 0.5278
```

magnetization	0.0	μB per cell
formation energy without anion corrections	-0.983	eV per atom
D(E_F)	0.28	states/eV/f.u.



(3)
Computed, not measured: crystalline CaEuGePt at its relaxed geometry at the GGA-PBE level of DFT.

Cell and atoms, written as POSCAR:
```
CaEuGePt
1.0
0.0000 3.6071 3.6071
3.6071 0.0000 3.6071
3.6071 3.6071 0.0000
Ca Eu Ge Pt
1 1 1 1
Direct
0.0000 0.0000 0.0000
0.5000 0.5000 0.5000
0.7500 0.7500 0.7500
0.2500 0.2500 0.2500
```

magnetization	6.8	μB per cell
calculated formation energy	-0.6675	eV per atom
D(E_F)	9.72	states/eV/f.u.